No. 1
A plane-wave DFT calculation with GGA-PBE was carried out for an optimized crystal structure of NaLa5Hg6.

POSCAR file:
```
NaLa5Hg6
1.0
5.209 -0.031 1.738
0.042 7.803 0.014
0.017 -0.016 8.642
Na Hg La
1 6 5
Direct
0.000 0.000 0.000
0.834 0.759 0.332
0.834 0.241 0.332
0.500 0.261 0.000
0.500 0.739 0.000
0.166 0.759 0.668
0.166 0.241 0.668
0.672 0.500 0.657
0.341 0.000 0.317
0.000 0.500 0.000
0.659 0.000 0.683
0.328 0.500 0.343
```

Properties
DFT total energy	-2.78	eV/atom
space group	No. 65
formation energy	-0.47	eV/atom

No. 2
A plane-wave DFT calculation with GGA-PBE was carried out for an optimized crystal structure of Na2LaHg8.

POSCAR file:
```
Na2LaHg8
1.0
-5.868 -0.716 -0.821
0.944 -5.324 -3.658
2.122 -1.301 8.439
Na La Hg
2 1 8
Direct
0.688 0.688 0.376
0.312 0.312 0.624
0.500 0.000 0.000
0.202 0.337 0.243
0.959 0.093 0.757
0.740 0.440 0.000
0.719 0.219 0.437
0.281 0.781 0.563
0.260 0.560 0.000
0.041 0.907 0.243
0.798 0.663 0.757
```

Properties
DFT total energy	-1.12	eV/atom
space group	No. 12
formation energy	-0.21	eV/atom

No. 3
A plane-wave DFT calculation with GGA-PBE was carried out for an optimized crystal structure of Na2LaHg2.

POSCAR file:
```
Na2LaHg2
1.0
8.244 0.000 0.000
0.000 8.244 0.000
0.000 0.000 4.401
Na Hg La
4 4 2
Direct
0.161 0.661 0.500
0.661 0.839 0.500
0.839 0.339 0.500
0.339 0.161 0.500
0.369 0.869 0.000
0.869 0.631 0.000
0.631 0.131 0.000
0.131 0.369 0.000
0.000 0.000 0.000
0.500 0.500 0.000
```

Properties
DFT total energy	-1.80	eV/atom
space group	No. 127
formation energy	-0.17	eV/atom
energy above the lowest structure with this stoichiometry	68	meV per atom

No. 4
A plane-wave DFT calculation with GGA-PBE was carried out for an optimized crystal structure of NaLa2Hg.

POSCAR file:
```
NaLa2Hg
1.0
3.659 0.000 0.000
1.830 3.169 0.000
1.830 1.056 12.451
Na Hg La
1 1 2
Direct
0.000 0.000 0.000
0.500 0.500 0.500
0.099 0.099 0.703
0.901 0.901 0.297
```

Properties
DFT total energy	-2.87	eV/atom
space group	No. 166
formation energy	0.00	eV/atom

No. 5
A plane-wave DFT calculation with GGA-PBE was carried out for an optimized crystal structure of NaLa2Hg8.

POSCAR file:
```
NaLa2Hg8
1.0
5.004 0.000 -1.520
-0.906 6.676 -2.983
-0.048 -0.155 8.841
Na La Hg
1 2 8
Direct
0.500 0.000 0.000
0.202 0.703 0.404
0.798 0.297 0.596
0.633 0.844 0.266
0.365 0.578 0.731
0.158 0.158 0.317
0.000 0.287 0.001
0.842 0.842 0.683
0.635 0.422 0.269
0.367 0.156 0.734
0.000 0.713 0.999
```

Properties
DFT total energy	-1.57	eV/atom
space group	No. 12
formation energy	-0.33	eV/atom

No. 6
A plane-wave DFT calculation with GGA-PBE was carried out for an optimized crystal structure of NaLa2Hg.

POSCAR file:
```
NaLa2Hg
1.0
4.695 0.000 0.000
0.000 4.695 0.000
2.348 2.348 12.019
Na Hg La
2 2 4
Direct
0.500 0.500 0.000
0.250 0.750 0.500
0.000 0.000 0.000
0.750 0.250 0.500
0.662 0.125 0.250
0.088 0.625 0.250
0.375 0.338 0.750
0.875 0.912 0.750
```

Properties
DFT total energy	-2.72	eV/atom
space group	No. 122
formation energy	0.15	eV/atom